{"formula": "AgHg2Cl", "functional": "PBE", "state": "optimized geometry", "formation_energy_uncorrected_ev_per_atom": -0.19, "spacegroup": "Pm", "magnetic_moment_mub_per_cell": 0.0, "lattice": [[5.642, 0.000, 0.000], [0.000, 3.799, 0.000], [-2.502, 0.000, 5.185]], "species": ["Ag", "Hg", "Hg", "Cl"], "fractional_positions": [[0.000, 0.000, 0.000], [0.495, 0.000, 0.503], [0.783, 0.500, 0.224], [0.183, 0.500, 0.816]]}